Record 1
# KCoPb2, optimized geometry, DFT PBEsol
# - total energy (eV/cell) = -16.276
# - space group = No. 123
data_KCoPb2
_chemical_formula_sum 'K1 Co1 Pb2'
_symmetry_space_group_name_H-M 'P 1'
_symmetry_Int_Tables_number 1
_cell_length_a 3.310
_cell_length_b 3.310
_cell_length_c 8.706
_cell_angle_alpha 90.00
_cell_angle_beta 90.00
_cell_angle_gamma 90.00
loop_
_symmetry_equiv_pos_as_xyz
'x,y,z'
loop_
_atom_site_label
_atom_site_fract_x
_atom_site_fract_y
_atom_site_fract_z
K1 0.000 0.000 0.000
Co1 0.000 0.000 0.500
Pb1 0.500 0.500 0.317
Pb2 0.500 0.500 0.683

Record 2
# KCoPb2, optimized geometry, DFT PBEsol
# - total energy (eV/cell) = -15.530
# - space group = No. 71
data_KCoPb2
_chemical_formula_sum 'K1 Co1 Pb2'
_symmetry_space_group_name_H-M 'P 1'
_symmetry_Int_Tables_number 1
_cell_length_a 6.303
_cell_length_b 6.303
_cell_length_c 6.303
_cell_angle_alpha 149.88
_cell_angle_beta 123.06
_cell_angle_gamma 65.76
loop_
_symmetry_equiv_pos_as_xyz
'x,y,z'
loop_
_atom_site_label
_atom_site_fract_x
_atom_site_fract_y
_atom_site_fract_z
K1 0.000 0.000 0.000
Co1 0.500 0.500 0.000
Pb1 0.304 0.804 0.500
Pb2 0.696 0.196 0.500

Which of these has the lowest total energy? number 1

What is the total energy in the first record? -16.276 eV/cell

Which of these has the lowest total energy? number 1